(1)
Here is a geometry-optimized Li4Ti2Ni3O10 structure from Alexandria. Energies are from PBE with a Hubbard U.

**Calculated density**: 4186 kg/m3
**SG**: P-1
**Electronic total energy**: -6.14 eV/atom
**M_tot**: 13.985 μB per cell

Cell lengths 6.5443, 7.8054, 7.8661 Å; angles 95.73, 90.57, 114.00 degrees
With the nearest neighbours (Å) after each atom.
Sites, in units of the cell vectors:
Li 0.1897 0.6039 0.3949  5 O 2.08-2.15
Li 0.8897 0.1985 0.2998  6 O 2.06-2.30
Li 0.7538 0.5229 0.2376  5 O 1.97-2.13
Li 0.2462 0.4771 0.7624  5 O 1.97-2.13
Li 0.1103 0.8015 0.7002  6 O 2.06-2.30
Li 0.8103 0.3961 0.6051  5 O 2.08-2.15
Li 0.6834 0.6016 0.9115  5 O 2.00-2.21
Li 0.3166 0.3984 0.0885  5 O 2.00-2.21
Ti 0.6494 0.6941 0.5443  6 O 1.89-2.07
Ti 0.3506 0.3059 0.4557  6 O 1.89-2.07
Ti 0.1765 0.6910 0.0495  5 O 1.81-2.03
Ti 0.8235 0.3090 0.9505  5 O 1.81-2.03
Ni 0.0398 0.8965 0.3420  6 O 1.93-2.12
Ni 0.9602 0.1035 0.6580  6 O 1.93-2.12
Ni 0.5000 0.0000 0.5000  4 O 1.91-2.01
Ni 0.0000 0.0000 0.0000  6 O 1.96-2.11
Ni 0.5476 0.9049 0.8484  6 O 2.07-2.12
Ni 0.4524 0.0951 0.1516  6 O 2.07-2.12
O 0.2268 0.0485 0.5508  3 Ni 2.00-2.12, 1 Ti 2.06, 1 Li 2.23
O 0.0864 0.3295 0.5351  1 Ti 1.92, 1 Ni 1.98, 2 Li 2.05-2.14
O 0.9136 0.6705 0.4649  1 Ti 1.92, 1 Ni 1.98, 2 Li 2.05-2.14
O 0.6000 0.2256 0.3914  2 Ni 1.91-2.08, 1 Ti 2.02, 2 Li 2.12
O 0.7732 0.9515 0.4492  3 Ni 2.00-2.12, 1 Ti 2.06, 1 Li 2.23
O 0.4668 0.5288 0.3468  2 Ti 1.89-1.95, 1 Li 2.09
O 0.0977 0.2268 0.8812  2 Ni 1.93-1.96, 2 Li 2.11
O 0.3054 0.8463 0.2713  1 Ti 1.99, 3 Ni 2.00-2.14, 1 Li 2.08
O 0.6946 0.1537 0.7287  1 Ti 1.99, 3 Ni 2.00-2.14, 1 Li 2.08
O 0.9711 0.5386 0.8436  2 Ti 1.94-2.03, 2 Li 2.11-2.13
O 0.5332 0.4712 0.6532  2 Ti 1.89-1.95, 1 Li 2.09
O 0.8259 0.8562 0.7655  3 Ni 2.04-2.11, 1 Ti 2.07, 2 Li 2.13-2.26
O 0.1741 0.1438 0.2345  3 Ni 2.04-2.11, 1 Ti 2.07, 2 Li 2.13-2.26
O 0.4000 0.7744 0.6086  2 Ni 1.91-2.08, 1 Ti 2.02, 2 Li 2.12
O 0.0289 0.4614 0.1564  2 Ti 1.94-2.03, 2 Li 2.11-2.13
O 0.7434 0.0697 0.0614  3 Ni 2.01-2.12, 1 Ti 2.02, 1 Li 2.06
O 0.9023 0.7732 0.1188  2 Ni 1.93-1.96, 2 Li 2.11
O 0.5874 0.3477 0.0360  1 Ti 1.81, 2 Li 1.97-2.00
O 0.4126 0.6523 0.9640  1 Ti 1.81, 2 Li 1.97-2.00
O 0.2566 0.9303 0.9386  3 Ni 2.01-2.12, 1 Ti 2.02, 1 Li 2.06

(2)
Here is a geometry-optimized LiTiNiO4 structure from Alexandria. Energies are from PBE with a Hubbard U.

**Calculated density**: 4066 kg/m3
**SG**: C2/c
**Electronic total energy**: -6.62 eV/atom
**M_tot**: 2.000 μB per cell

Cell lengths 5.7755, 5.9320, 5.7755 Å; angles 118.29, 88.65, 61.52 degrees
With the nearest neighbours (Å) after each atom.
Sites, in units of the cell vectors:
Li 0.1305 0.2500 0.1196  4 O 1.98-1.99
Li 0.8695 0.7500 0.8804  4 O 1.98-1.99
Ti 0.0000 0.0000 0.5000  6 O 1.93-2.02
Ti 0.5000 0.5000 0.5000  6 O 1.93-2.02
Ni 0.5000 0.0000 0.5000  6 O 1.92-2.15
Ni 0.5000 0.5000 0.0000  6 O 1.92-2.15
O 0.2534 0.5364 0.2672  1 Ni 1.94, 1 Li 1.98, 2 Ti 1.99-2.02
O 0.2692 0.9636 0.7102  1 Ni 1.94, 1 Li 1.98, 2 Ti 1.99-2.02
O 0.7308 0.0364 0.2898  1 Ni 1.94, 1 Li 1.98, 2 Ti 1.99-2.02
O 0.7466 0.4636 0.7328  1 Ni 1.93, 1 Li 1.98, 2 Ti 1.99-2.02
O 0.2607 0.9918 0.2747  2 Ni 1.92-2.15, 1 Ti 1.93, 1 Li 1.99
O 0.7171 0.5082 0.2474  2 Ni 1.92-2.15, 1 Ti 1.93, 1 Li 1.99
O 0.7393 0.0082 0.7253  2 Ni 1.92-2.15, 1 Ti 1.93, 1 Li 1.99
O 0.2829 0.4918 0.7526  2 Ni 1.92-2.15, 1 Ti 1.93, 1 Li 1.99